Material: UTl2GeS6
Method: DFT, PBE
State: optimized geometry

Calculated values
ΔE_f (raw) ... -0.50 eV per atom
Volume ... 24.219 Å³/atom
Raw total energy ... -5.038 eV per atom
Symmetry ... R-3
Density of states at the Fermi level ... 2.6 states/eV/cell

Unit cell a=7.052 b=7.052 c=6.943 alpha=59.48 beta=59.48 gamma=60.00
Atoms (fractional coordinates):
1 Ge 0.316 0.316 0.052
2 Tl 0.567 0.567 0.299
3 S 0.504 0.620 0.805
4 Tl 0.065 0.065 0.805
5 S 0.071 0.504 0.805
6 S 0.012 0.561 0.298
7 U 0.816 0.816 0.552
8 S 0.562 0.128 0.298
9 S 0.128 0.012 0.298
10 S 0.620 0.071 0.805